Entry 1:
DFT (PBE-GGA) results for a geometry-optimized Cu2SeCl2 structure.

Cell lengths 3.757, 7.741, 7.924 Å; angles 79.65, 76.29, 75.95 degrees
Sites, in units of the cell vectors:
1 Cl 0.641 0.215 0.504
2 Cl 0.118 0.581 0.184
3 Cl 0.359 0.785 0.496
4 Cl 0.882 0.419 0.816
5 Cu 0.173 0.310 0.345
6 Cu 0.488 0.213 0.811
7 Cu 0.827 0.690 0.655
8 Cu 0.512 0.787 0.189
9 Se 0.613 0.893 0.880
10 Se 0.387 0.107 0.120

Computed properties:
Energy above the lowest structure with this stoichiometry, meV per atom: 23
Density, Mg/m³: 4.271
SG: C2/m
E_form (uncorrected), eV per atom: -0.327

=====

Entry 2:
DFT (PBE-GGA) results for a geometry-optimized CuIrW structure.

Cell lengths 5.748, 5.748, 5.748 Å; angles 151.58, 151.58, 40.62 degrees
Sites, in units of the cell vectors:
1 Cu 0.999 0.999 0.000
2 W 0.667 0.667 0.000
3 Ir 0.334 0.334 0.000

Computed properties:
Energy above the lowest structure with this stoichiometry, meV per atom: 126
Density, Mg/m³: 17.003
SG: I4mm

=====

Entry 3:
DFT (PBE-GGA) results for a geometry-optimized HgPtRh structure.

Cell lengths 5.026, 5.026, 5.026 Å; angles 146.69, 133.11, 58.73 degrees
Site moments in Bohr magnetons follow the coordinates.
Sites, in units of the cell vectors:
1 Hg 0.001 0.001 0.000  0.00
2 Pt 0.326 0.326 0.000  0.17
3 Rh 0.673 0.673 0.000  0.43

Computed properties:
Energy above the lowest structure with this stoichiometry, meV per atom: 46
Density, Mg/m³: 16.404
SG: Imm2

=====

Entry 4:
DFT (PBE-GGA) results for a geometry-optimized Ho4ScSb5 structure.

Cell lengths 6.135, 7.501, 7.501 Å; angles 80.37, 65.86, 65.86 degrees
Sites, in units of the cell vectors:
1 Sb 0.902 0.391 0.806
2 Sb 0.501 0.000 0.000
3 Sb 0.294 0.806 0.609
4 Sb 0.708 0.194 0.391
5 Sb 0.100 0.609 0.194
6 Ho 0.404 0.398 0.796
7 Ho 0.200 0.204 0.398
8 Ho 0.802 0.796 0.602
9 Ho 0.598 0.602 0.204
10 Sc 0.001 0.000 0.000

Computed properties:
Density, Mg/m³: 7.589
SG: I4/m
E_form (uncorrected), eV per atom: -1.069

=====

Entry 5:
DFT (PBE-GGA) results for a geometry-optimized Sm6Y2Ho3Er structure.

Cell lengths 6.215, 6.215, 11.805 Å; angles 95.02, 95.02, 119.98 degrees
Sites, in units of the cell vectors:
1 Y 0.333 0.667 0.000
2 Y 0.667 0.333 0.000
3 Ho 0.833 0.167 0.500
4 Ho 0.167 0.833 0.500
5 Ho 0.500 0.500 0.500
6 Sm 0.248 0.248 0.749
7 Sm 0.584 0.916 0.749
8 Sm 0.416 0.084 0.251
9 Sm 0.084 0.416 0.251
10 Sm 0.916 0.584 0.749
11 Sm 0.752 0.752 0.251
12 Er 0.000 0.000 0.000

Computed properties:
Density, Mg/m³: 7.438
SG: C2/m
Total DFT energy (no corrections), eV/atom: -4.95

=====

Entry 6:
DFT (PBE-GGA) results for a geometry-optimized LiMn2Ni structure.

Cell lengths 3.581, 2.570, 5.763 Å; angles 63.70, 90.00, 90.00 degrees
Site moments in Bohr magnetons follow the coordinates.
Sites, in units of the cell vectors:
1 Li 0.500 0.764 0.735  0.01
2 Mn 0.000 0.991 0.008  2.89
3 Mn 0.500 0.254 0.246  -2.62
4 Ni 0.000 0.490 0.511  -0.09

Computed properties:
Density, Mg/m³: 6.129
SG: Pm
Total DFT energy (no corrections), eV/atom: -6.38

=====

Entry 7:
DFT (PBE-GGA) results for a geometry-optimized LaTcOs2 structure.

Cell lengths 5.435, 5.435, 2.847 Å; angles 79.71, 79.71, 117.43 degrees
Sites, in units of the cell vectors:
1 La 0.000 0.500 0.500
2 Os 0.000 0.000 0.000
3 Os 0.500 0.500 0.000
4 Tc 0.500 0.000 0.500

Computed properties:
Energy above the lowest structure with this stoichiometry, meV per atom: 404
Density, Mg/m³: 14.626
SG: C2/m

=====

Entry 8:
DFT (PBE-GGA) results for a geometry-optimized BeZnAsIr structure.

Cell lengths 2.945, 2.944, 14.096 Å; angles 90.00, 102.23, 90.00 degrees
Sites, in units of the cell vectors:
1 As 0.017 0.500 0.721
2 As 0.017 0.000 0.221
3 Be 0.398 0.000 0.606
4 Be 0.398 0.500 0.106
5 Ir 0.823 0.500 0.532
6 Ir 0.823 0.000 0.032
7 Zn 0.200 0.500 0.910
8 Zn 0.200 0.000 0.410

Computed properties:
Energy above the lowest structure with this stoichiometry, meV per atom: 2
Density, Mg/m³: 9.496
SG: Cm

=====

Entry 9:
DFT (PBE-GGA) results for a geometry-optimized AlOs2N structure.

Cell lengths 6.487, 6.487, 5.234 Å; angles 51.71, 51.71, 90.00 degrees
Sites, in units of the cell vectors:
1 N 0.250 0.750 0.500
2 N 0.500 0.500 0.000
3 Os 0.518 0.125 0.250
4 Os 0.375 0.482 0.750
5 Os 0.875 0.768 0.750
6 Os 0.232 0.625 0.250
7 Al 0.000 0.000 0.000
8 Al 0.750 0.250 0.500

Computed properties:
Energy above the lowest structure with this stoichiometry, meV per atom: 0
Density, Mg/m³: 13.192
SG: I-42d
E_form (uncorrected), eV per atom: 0.347

=====

Entry 10:
DFT (PBE-GGA) results for a geometry-optimized NaHgTeBr structure.

Cell lengths 4.876, 4.876, 6.906 Å; angles 90.00, 90.00, 120.00 degrees
Sites, in units of the cell vectors:
1 Na 0.836 0.672 0.500
2 Hg 0.170 0.340 0.000
3 Te 0.837 0.673 0.000
4 Br 0.169 0.339 0.500

Computed properties:
Density, Mg/m³: 5.034
SG: Amm2
E_form (uncorrected), eV per atom: -0.745

=====

Entry 11:
DFT (PBE-GGA) results for a geometry-optimized K2LaRu structure.

Cell lengths 3.193, 3.193, 12.888 Å; angles 90.00, 90.00, 90.00 degrees
Site moments in Bohr magnetons follow the coordinates.
Sites, in units of the cell vectors:
1 K 0.000 0.000 0.554  0.00
2 K 0.000 0.000 0.946  0.00
3 Ru 0.500 0.500 0.750  1.66
4 La 0.500 0.500 0.250  0.16

Computed properties:
Energy above the lowest structure with this stoichiometry, meV per atom: 835
Density, Mg/m³: 4.021
SG: P4/mmm

=====

Entry 12:
DFT (PBE-GGA) results for a geometry-optimized Tb6YEr4 structure.

Cell lengths 7.471, 7.471, 8.519 Å; angles 116.01, 116.01, 90.00 degrees
Sites, in units of the cell vectors:
1 Tb 0.547 0.547 0.627
2 Tb 0.453 0.920 0.373
3 Tb 0.500 0.000 0.000
4 Tb 0.920 0.453 0.373
5 Tb 0.080 0.080 0.627
6 Tb 0.000 0.500 0.000
7 Y 0.500 0.500 0.000
8 Er 0.917 0.917 0.160
9 Er 0.083 0.757 0.840
10 Er 0.757 0.083 0.840
11 Er 0.243 0.243 0.160

Computed properties:
Energy above the lowest structure with this stoichiometry, meV per atom: 294
Density, Mg/m³: 7.618
SG: I-42m

=====

Number 1: total magnetization 0.0 μB per formula unit. Number 2: total magnetization 0.0 μB per formula unit. Number 3: total magnetization 0.6 μB per formula unit. Number 4: total magnetization 0.0 μB per formula unit. Number 5: total magnetization 0.0 μB per formula unit. Number 6: total magnetization 0.3 μB per formula unit. Number 7: total magnetization 0.0 μB per formula unit. Number 8: total magnetization 0.0 μB per formula unit. Number 9: total magnetization 0.0 μB per formula unit. Number 10: total magnetization 0.0 μB per formula unit. Number 11: total magnetization 2.2 μB per formula unit. Number 12: total magnetization 0.0 μB per formula unit.